Density functional theory data (PBE) for a relaxed structure of MgCu2.

Structure (POSCAR):
```
MgCu2
1.0
4.197 0.000 0.000
2.099 3.635 0.000
2.099 1.212 3.427
Cu Mg
2 1
Direct
0.750 0.750 0.750 Cu
0.250 0.250 0.250 Cu
0.000 0.000 0.000 Mg
```

Properties
**SG**: Fm-3m, No. 225
**Calculated formation energy**: 1.25 eV per formula unit
**VASP energy**: -2.844 eV per atom